PBE-GGA Ac5PuSn4, relaxed; mass density = 8.03 g/cm3; symmetry = C2/m, No. 12; volume = 38.33 A^3/atom; E_form = -0.421 eV/atom; crystal system = monoclinic
1.0
-0.3724 1.2292 -5.5207
-0.2051 -7.5529 -1.6679
-8.3264 7.0217 5.0349
Sn Ac Pu
4 5 1
Direct
0.9928 0.7460 0.9855 Sn
0.0072 0.2540 0.0145 Sn
0.6738 0.0987 0.3476 Sn
0.3262 0.9013 0.6524 Sn
0.8354 0.1682 0.6709 Ac
0.1646 0.8318 0.3291 Ac
0.1640 0.3216 0.3279 Ac
0.5000 0.5000 0.0000 Ac
0.8360 0.6784 0.6721 Ac
0.5000 0.0000 0.0000 Pu